## TaTl2Br (PBE)

Data for a relaxed structure of TaTl2Br.

Summary:
The density of states at the Fermi level comes out at 4.347 states/eV/cell. The calculation puts the energy at -3.775 eV/atom. The total magnetization is 1.113 μB/f.u. The raw formation energy comes out at 0.789 eV per atom.

Cell and atoms, written as POSCAR:
```
TaTl2Br
1.0
-2.148 2.148 5.582
2.148 -2.148 5.582
2.148 2.148 -5.582
Ta Tl Br
1 2 1
Direct
0.000 0.000 0.000
0.250 0.750 0.500
0.500 0.500 0.000
0.750 0.250 0.500
```

=====

## Ca3Tb (PBE)

Data for a relaxed structure of Ca3Tb.

Summary:
The formation energy comes out at 0.6 eV/f.u. The density of states at the Fermi level comes out at 6.837 states/eV/cell. The calculation puts the energy at -2.516 eV/atom. The total magnetization is 0.184 μB/f.u.

Cell and atoms, written as POSCAR:
```
Ca3Tb
1.0
5.387 0.000 0.000
0.000 5.387 0.000
0.000 0.000 5.387
Ca Tb
3 1
Direct
0.000 0.000 0.500
0.000 0.500 0.000
0.500 0.000 0.000
0.500 0.500 0.500
```